Below is a relaxed structure of ZrMn2Ru, with properties calculated at the PBE level.

Cell and atoms, written as POSCAR:
```
ZrMn2Ru
1.0
-1.5658 2.1644 4.3922
1.5658 -2.1644 4.3922
1.5658 2.1644 -4.3922
Zr Mn Ru
1 2 1
Cartesian
0.0000 0.0000 0.0000
1.5658 0.0000 2.3586
0.0000 0.0000 4.4483
0.0000 2.1644 2.1098
```

E   -36.01 eV per cell
N(E_F)   1.070 states/eV per atom

=====

Below is a relaxed structure of ZrMnRu2, with properties calculated at the PBE level.

Cell and atoms, written as POSCAR:
```
ZrMnRu2
1.0
0.0000 3.1518 3.1518
3.1518 0.0000 3.1518
3.1518 3.1518 0.0000
Zr Mn Ru
1 1 2
Cartesian
0.0000 0.0000 0.0000
4.7277 4.7277 4.7277
1.5759 1.5759 1.5759
3.1518 3.1518 3.1518
```

E   -36.11 eV per cell
N(E_F)   1.241 states/eV per atom

=====

Below is a relaxed structure of ZrMn2Ru, with properties calculated at the PBE level.

Cell and atoms, written as POSCAR:
```
ZrMn2Ru
1.0
2.8927 0.0000 0.0000
0.0000 4.2568 0.0000
-1.4107 0.0000 5.1360
Zr Mn Ru
1 2 1
Cartesian
0.0000 0.0000 0.0000
-0.1176 2.1284 3.7196
1.5996 2.1284 1.4164
0.7410 0.0000 2.5680
```

E   -35.73 eV per cell
N(E_F)   1.200 states/eV per atom

=====

| no. | formation energy (eV per formula unit) | magnetic moment (μB/f.u.) |
| --- | --- | --- |
| 1 | 0.15 | 3.15 |
| 2 | 0.16 | 4.06 |
| 3 | 0.43 | 6.06 |